The following is a PBE with a Hubbard U calculation of a relaxed structure of Ca2HfCrO6, from the Alexandria database.

Summary:
energy = -7.919 eV/atom
density = 5.7 g/cm³
crystal system = monoclinic

Lattice parameters (Å, degrees): 5.4781 5.5937 7.7949 90.00 89.87 90.00
With the nearest neighbours (Å) after each atom.
Element x y z (fractional)
Ca (0.0116, 0.9551, 0.2503)  6 O 2.36-2.63
Ca (0.5116, 0.5449, 0.7503)  6 O 2.36-2.63
Ca (0.9884, 0.0449, 0.7497)  6 O 2.36-2.63
Ca (0.4884, 0.4551, 0.2497)  6 O 2.36-2.63
Hf (0.5000, 0.0000, 0.5000)  6 O 2.07-2.09
Hf (0.0000, 0.5000, 0.0000)  6 O 2.07-2.09
Cr (0.5000, 0.0000, 0.0000)  6 O 1.95-1.97
Cr (0.0000, 0.5000, 0.5000)  6 O 1.95-1.97
O (0.3040, 0.7162, 0.0450)  1 Cr 1.95, 1 Hf 2.09
O (0.8040, 0.7838, 0.5450)  1 Cr 1.95, 1 Hf 2.09
O (0.6960, 0.2838, 0.9550)  1 Cr 1.95, 1 Hf 2.09
O (0.1960, 0.2162, 0.4550)  1 Cr 1.95, 1 Hf 2.09
O (0.2865, 0.7027, 0.4528)  1 Cr 1.97, 1 Hf 2.07
O (0.7865, 0.7973, 0.9528)  1 Cr 1.97, 1 Hf 2.07
O (0.7135, 0.2973, 0.5472)  1 Cr 1.97, 1 Hf 2.07
O (0.2135, 0.2027, 0.0472)  1 Cr 1.97, 1 Hf 2.07
O (0.9136, 0.5257, 0.2586)  1 Cr 1.95, 1 Hf 2.07
O (0.4136, 0.9743, 0.7586)  1 Cr 1.95, 1 Hf 2.07
O (0.0864, 0.4743, 0.7414)  1 Cr 1.95, 1 Hf 2.07
O (0.5864, 0.0257, 0.2414)  1 Cr 1.95, 1 Hf 2.07